[1]
Compound: BaY2Ni2
Source: Alexandria via LeMat-Bulk
Functional: PBE-GGA
Structure: relaxed

a = 7.9818 Å, b = 7.9818 Å, c = 3.9259 Å
α = 90.00°, β = 90.00°, γ = 90.00°
Atoms (fractional coordinates):
Y1 0.1512 0.6512 0.5000
Y2 0.6512 0.8488 0.5000
Y3 0.8488 0.3488 0.5000
Y4 0.3488 0.1512 0.5000
Ni1 0.3881 0.8881 0.0000
Ni2 0.8881 0.6119 0.0000
Ni3 0.6119 0.1119 0.0000
Ni4 0.1119 0.3881 0.0000
Ba1 0.0000 0.0000 0.0000
Ba2 0.5000 0.5000 0.0000

## Properties
* DFT formation energy: -0.2 eV per formula unit
* excess energy over the best structure of this formula in the dataset: 0.035 eV per atom

[2]
Compound: BaYNi2
Source: Alexandria via LeMat-Bulk
Functional: PBE-GGA
Structure: relaxed

a = 5.0571 Å, b = 5.0571 Å, c = 5.0571 Å
α = 60.00°, β = 60.00°, γ = 60.00°
Atoms (fractional coordinates):
Y1 0.0000 0.0000 0.0000
Ni1 0.2500 0.2500 0.2500
Ni2 0.7500 0.7500 0.7500
Ba1 0.5000 0.5000 0.5000

## Properties
* DFT formation energy: 0.4 eV per formula unit
* excess energy over the best structure of this formula in the dataset: 0.211 eV per atom